# 1
A relaxed structure of BaHf2Ir2, computed with PBE-GGA.

a b c (Å): 6.6576 6.6576 6.6576
angles (deg): 140.13 140.13 57.65
Atoms (fractional coordinates):
Ba 0.0000 0.0000 0.0000
Hf 0.2500 0.7500 0.5000
Hf 0.7500 0.2500 0.5000
Ir 0.3746 0.3746 0.0000
Ir 0.6254 0.6254 0.0000

Computed properties:
symmetry	No. 139
distance to the lowest polymorph of the same formula	0	meV/atom
energy of formation	-0.65	eV per atom
crystal system	tetragonal
total DFT energy (no corrections)	-8.562	eV per atom

=====

# 2
A relaxed structure of Ba2HfIr2, computed with PBE-GGA.

a b c (Å): 7.0592 7.0592 5.3669
angles (deg): 90.00 90.00 90.00
Atoms (fractional coordinates):
Ba 0.1760 0.3240 0.0000
Ba 0.3240 0.8240 0.0000
Ba 0.6760 0.1760 0.0000
Ba 0.8240 0.6760 0.0000
Hf 0.0000 0.0000 0.5000
Hf 0.5000 0.5000 0.5000
Ir 0.1286 0.6286 0.5000
Ir 0.3714 0.1286 0.5000
Ir 0.6286 0.8714 0.5000
Ir 0.8714 0.3714 0.5000

Computed properties:
symmetry	No. 127
energy of formation	-0.07	eV per atom
crystal system	tetragonal
total DFT energy (no corrections)	-6.372	eV per atom

=====

# 3
A relaxed structure of BaHf2Ir, computed with PBE-GGA.

a b c (Å): 9.5744 9.5744 9.5744
angles (deg): 145.48 145.48 49.62
Atoms (fractional coordinates):
Ba 0.3750 0.6250 0.7500
Ba 0.6250 0.3750 0.2500
Hf 0.0000 0.0000 0.0000
Hf 0.0000 0.0000 0.5000
Hf 0.0000 0.5000 0.0000
Hf 0.5000 0.0000 0.5000
Ir 0.1250 0.8750 0.2500
Ir 0.8750 0.1250 0.7500

Computed properties:
symmetry	No. 141
distance to the lowest polymorph of the same formula	230	meV/atom
energy of formation	0.57	eV per atom
crystal system	tetragonal
total DFT energy (no corrections)	-7.101	eV per atom

=====

# 4
A relaxed structure of BaHf2Ir, computed with PBE-GGA.

a b c (Å): 4.9533 4.9533 4.9533
angles (deg): 60.00 60.00 60.00
Atoms (fractional coordinates):
Ba 0.0000 0.0000 0.0000
Hf 0.2500 0.2500 0.2500
Hf 0.7500 0.7500 0.7500
Ir 0.5000 0.5000 0.5000

Computed properties:
symmetry	No. 225
distance to the lowest polymorph of the same formula	0	meV/atom
energy of formation	0.34	eV per atom
crystal system	cubic
total DFT energy (no corrections)	-7.331	eV per atom

=====

# 5
A relaxed structure of Ba2HfIr, computed with PBE-GGA.

a b c (Å): 8.8017 8.8017 8.8017
angles (deg): 94.59 94.59 147.12
Atoms (fractional coordinates):
Ba 0.3750 0.2135 0.3385
Ba 0.7865 0.1250 0.1615
Ba 0.8750 0.0365 0.6615
Ba 0.9635 0.6250 0.8385
Hf 0.2500 0.7500 0.5000
Hf 0.5000 0.5000 0.0000
Ir 0.0000 0.0000 0.0000
Ir 0.7500 0.2500 0.5000

Computed properties:
symmetry	No. 122
distance to the lowest polymorph of the same formula	0	meV/atom
energy of formation	0.22	eV per atom
crystal system	tetragonal
total DFT energy (no corrections)	-5.440	eV per atom

=====

# 6
A relaxed structure of Ba2HfIr, computed with PBE-GGA.

a b c (Å): 5.5129 5.5129 5.5129
angles (deg): 60.00 60.00 60.00
Atoms (fractional coordinates):
Ba 0.2500 0.2500 0.2500
Ba 0.7500 0.7500 0.7500
Hf 0.0000 0.0000 0.0000
Ir 0.5000 0.5000 0.5000

Computed properties:
symmetry	No. 225
distance to the lowest polymorph of the same formula	663	meV/atom
energy of formation	0.89	eV per atom
crystal system	cubic
total DFT energy (no corrections)	-4.777	eV per atom

=====

# 7
A relaxed structure of KBaHfIr2, computed with PBE-GGA.

a b c (Å): 5.0758 5.0758 5.1630
angles (deg): 90.00 90.00 90.00
Atoms (fractional coordinates):
K 0.0000 0.0000 0.0000
Ba 0.0000 0.0000 0.5000
Hf 0.5000 0.5000 0.5000
Ir 0.0000 0.5000 0.0000
Ir 0.5000 0.0000 0.0000

Computed properties:
symmetry	No. 123
energy of formation	2.08	eV per atom
crystal system	tetragonal
total DFT energy (no corrections)	-4.063	eV per atom

=====

# 8
A relaxed structure of BaLa2HfIr, computed with PBE-GGA.

a b c (Å): 5.8916 5.8916 4.9444
angles (deg): 90.00 90.00 90.00
Atoms (fractional coordinates):
Ba 0.0000 0.0000 0.0000
La 0.0000 0.5000 0.5000
La 0.5000 0.0000 0.5000
Hf 0.5000 0.5000 0.5000
Ir 0.5000 0.5000 0.0000

Computed properties:
symmetry	No. 123
energy of formation	0.38	eV per atom
crystal system	tetragonal
total DFT energy (no corrections)	-5.742	eV per atom

=====

# 9
A relaxed structure of BaLaHfIr2, computed with PBE-GGA.

a b c (Å): 5.0282 5.0282 5.6366
angles (deg): 90.00 90.00 90.00
Atoms (fractional coordinates):
Ba 0.0000 0.0000 0.0000
La 0.0000 0.0000 0.5000
Hf 0.5000 0.5000 0.0000
Ir 0.0000 0.5000 0.5000
Ir 0.5000 0.0000 0.5000

Computed properties:
symmetry	No. 123
energy of formation	1.38	eV per atom
crystal system	tetragonal
total DFT energy (no corrections)	-5.527	eV per atom

=====

# 10
A relaxed structure of Ba2HfNbIr, computed with PBE-GGA.

a b c (Å): 5.7586 5.7586 5.0167
angles (deg): 90.00 90.00 90.00
Atoms (fractional coordinates):
Ba 0.0000 0.5000 0.0000
Ba 0.5000 0.0000 0.0000
Hf 0.0000 0.0000 0.5000
Nb 0.0000 0.0000 0.0000
Ir 0.5000 0.5000 0.5000

Computed properties:
symmetry	No. 123
energy of formation	1.42	eV per atom
crystal system	tetragonal
total DFT energy (no corrections)	-5.124	eV per atom

=====

# 11
A relaxed structure of BaHfIr2O8, computed with PBE-GGA.

a b c (Å): 5.7363 5.7363 7.4990
angles (deg): 90.00 90.00 120.00
Atoms (fractional coordinates):
Ba 0.0000 0.0000 0.0000
Hf 0.0000 0.0000 0.5000
Ir 0.3333 0.6667 0.7497
Ir 0.6667 0.3333 0.2503
O 0.0898 0.3110 0.6766
O 0.2212 0.9102 0.6766
O 0.3110 0.2212 0.3234
O 0.3333 0.6667 0.9929
O 0.6667 0.3333 0.0071
O 0.6890 0.7788 0.6766
O 0.7788 0.0898 0.3234
O 0.9102 0.6890 0.3234

Computed properties:
symmetry	No. 147
formation energy (no corrections)	-32.5	kcal/mol of atoms
crystal system	trigonal
total DFT energy (no corrections)	-7.181	eV per atom

=====

# 12
A relaxed structure of Ba2HfIrO6, computed with PBE-GGA.

a b c (Å): 10.3617 10.3617 10.3617
angles (deg): 33.25 33.25 33.25
Atoms (fractional coordinates):
Ba 0.1328 0.1328 0.1328
Ba 0.2842 0.2842 0.2842
Ba 0.7158 0.7158 0.7158
Ba 0.8672 0.8672 0.8672
Hf 0.4072 0.4072 0.4072
Hf 0.5928 0.5928 0.5928
Ir 0.0000 0.0000 0.0000
Ir 0.5000 0.5000 0.5000
O 0.1445 0.6125 0.6125
O 0.2019 0.2019 0.7123
O 0.2019 0.7123 0.2019
O 0.2877 0.7981 0.7981
O 0.3875 0.3875 0.8555
O 0.3875 0.8555 0.3875
O 0.6125 0.1445 0.6125
O 0.6125 0.6125 0.1445
O 0.7124 0.2019 0.2019
O 0.7981 0.2876 0.7981
O 0.7981 0.7981 0.2877
O 0.8555 0.3875 0.3875

Computed properties:
symmetry	No. 166
formation energy (no corrections)	-56.1	kcal/mol of atoms
crystal system	trigonal
total DFT energy (no corrections)	-7.675	eV per atom

=====

# 13
A relaxed structure of BaHfIrO6, computed with PBE-GGA.

a b c (Å): 7.3394 7.3394 7.3394
angles (deg): 120.57 119.72 89.75
Atoms (fractional coordinates):
Ba 0.3856 0.1356 0.2500
Ba 0.6144 0.8644 0.7500
Hf 0.0000 0.5000 0.5000
Hf 0.5000 0.5000 0.0000
Ir 0.0000 0.0000 0.5000
Ir 0.0000 0.5000 0.0000
O 0.0559 0.8059 0.2500
O 0.0630 0.4080 0.2239
O 0.0630 0.8391 0.6550
O 0.3160 0.1609 0.7239
O 0.3160 0.5920 0.1550
O 0.3402 0.5902 0.7500
O 0.6598 0.4098 0.2500
O 0.6840 0.4080 0.8450
O 0.6840 0.8391 0.2761
O 0.9370 0.1609 0.3450
O 0.9370 0.5920 0.7761
O 0.9441 0.1941 0.7500

Computed properties:
symmetry	No. 74
formation energy (no corrections)	-46.4	kcal/mol of atoms
crystal system	orthorhombic
total DFT energy (no corrections)	-7.620	eV per atom

=====

# 14
A relaxed structure of Ba2HfIr3O12, computed with PBE-GGA.

a b c (Å): 7.2469 7.2469 7.2469
angles (deg): 59.36 59.36 59.36
Atoms (fractional coordinates):
Ba 0.1192 0.1192 0.1192
Ba 0.8808 0.8808 0.8808
Hf 0.5000 0.5000 0.5000
Ir 0.0000 0.5000 0.5000
Ir 0.5000 0.0000 0.5000
Ir 0.5000 0.5000 0.0000
O 0.1512 0.5880 0.5880
O 0.1798 0.1798 0.5965
O 0.1798 0.5965 0.1798
O 0.4035 0.8202 0.8202
O 0.4120 0.4120 0.8488
O 0.4120 0.8488 0.4120
O 0.5880 0.1512 0.5880
O 0.5880 0.5880 0.1512
O 0.5965 0.1798 0.1798
O 0.8202 0.4035 0.8202
O 0.8202 0.8202 0.4035
O 0.8488 0.4120 0.4120

Computed properties:
symmetry	No. 166
formation energy (no corrections)	-37.2	kcal/mol of atoms
crystal system	trigonal
total DFT energy (no corrections)	-7.162	eV per atom

=====

# 15
A relaxed structure of BaHfIrO2, computed with PBE-GGA.

a b c (Å): 4.4539 4.4539 4.8255
angles (deg): 90.00 90.00 90.00
Atoms (fractional coordinates):
Ba 0.0000 0.0000 0.0000
Hf 0.5000 0.5000 0.0000
Ir 0.5000 0.5000 0.5000
O 0.0000 0.5000 0.5000
O 0.5000 0.0000 0.5000

Computed properties:
symmetry	No. 123
formation energy (no corrections)	1.1	kcal/mol of atoms
crystal system	tetragonal
total DFT energy (no corrections)	-6.083	eV per atom

=====

# 16
A relaxed structure of BaHfIrOs2, computed with PBE-GGA.

a b c (Å): 4.7944 4.7944 5.6702
angles (deg): 90.00 90.00 90.00
Atoms (fractional coordinates):
Ba 0.0000 0.0000 0.0000
Hf 0.0000 0.0000 0.5000
Ir 0.5000 0.5000 0.0000
Os 0.0000 0.5000 0.5000
Os 0.5000 0.0000 0.5000

Computed properties:
symmetry	No. 123
energy of formation	2.23	eV per atom
crystal system	tetragonal
total DFT energy (no corrections)	-6.412	eV per atom

=====

# 17
A relaxed structure of BaHfP2Ir, computed with PBE-GGA.

a b c (Å): 4.8758 4.8758 7.0511
angles (deg): 90.00 90.00 90.00
Atoms (fractional coordinates):
Ba 0.0000 0.0000 0.0000
Hf 0.0000 0.0000 0.5000
P 0.0000 0.5000 0.5000
P 0.5000 0.0000 0.5000
Ir 0.5000 0.5000 0.0000

Computed properties:
symmetry	No. 123
energy of formation	0.91	eV per atom
crystal system	tetragonal
total DFT energy (no corrections)	-5.399	eV per atom

=====

# 18
A relaxed structure of BaHfRe2Ir, computed with PBE-GGA.

a b c (Å): 4.9435 4.9435 4.9196
angles (deg): 90.00 90.00 90.00
Atoms (fractional coordinates):
Ba 0.0000 0.0000 0.0000
Hf 0.5000 0.5000 0.5000
Re 0.0000 0.5000 0.0000
Re 0.5000 0.0000 0.0000
Ir 0.0000 0.0000 0.5000

Computed properties:
symmetry	No. 123
energy of formation	3.12	eV per atom
crystal system	tetragonal
total DFT energy (no corrections)	-6.008	eV per atom

=====

# 19
A relaxed structure of Ba2HfIrSe, computed with PBE-GGA.

a b c (Å): 6.0286 6.0286 4.9611
angles (deg): 90.00 90.00 90.00
Atoms (fractional coordinates):
Ba 0.0000 0.5000 0.0000
Ba 0.5000 0.0000 0.0000
Hf 0.0000 0.0000 0.5000
Ir 0.5000 0.5000 0.5000
Se 0.0000 0.0000 0.0000

Computed properties:
symmetry	No. 123
formation energy (no corrections)	7.9	kcal/mol of atoms
crystal system	tetragonal
total DFT energy (no corrections)	-4.888	eV per atom

=====

# 20
A relaxed structure of BaSr2HfIr, computed with PBE-GGA.

a b c (Å): 6.3258 6.3258 4.8736
angles (deg): 90.00 90.00 90.00
Atoms (fractional coordinates):
Ba 0.0000 0.0000 0.0000
Sr 0.0000 0.5000 0.5000
Sr 0.5000 0.0000 0.5000
Hf 0.5000 0.5000 0.5000
Ir 0.5000 0.5000 0.0000

Computed properties:
symmetry	No. 123
energy of formation	0.50	eV per atom
crystal system	tetragonal
total DFT energy (no corrections)	-4.317	eV per atom